Record 1
Computed, not measured: crystalline PaNiSbPd at its relaxed geometry at the PBE level of DFT.

```
PaNiSbPd
1.0
4.812 0.000 0.000
2.406 4.167 0.000
2.406 1.389 3.929
Sb Pa Pd Ni
1 1 1 1
direct
0.250 0.250 0.250
0.500 0.500 0.500
0.000 0.000 0.000
0.750 0.750 0.750
```

- crystal system = cubic
- energy relative to the elements, uncorrected (eV/atom) = -0.183
- SG = No. 216

=====

Record 2
Computed, not measured: crystalline ScPaNiPd at its relaxed geometry at the PBE level of DFT.

```
ScPaNiPd
1.0
-2.747 -2.922 2.581
-1.821 -3.935 -1.987
1.633 -4.293 1.283
Sc Ni Pa Pd
1 1 1 1
direct
0.500 0.500 0.500
0.250 0.250 0.250
0.000 0.000 0.000
0.750 0.750 0.750
```

- crystal system = cubic
- SG = No. 216
- formation energy (eV/atom) = -0.38

=====

Record 3
Computed, not measured: crystalline Pa2Si4Ni3Pd at its relaxed geometry at the PBE level of DFT.

```
Pa2Si4Ni3Pd
1.0
4.064 0.000 0.000
0.000 4.064 0.000
0.000 0.000 9.427
Pa Si Ni Pd
2 4 3 1
direct
0.500 0.000 0.245
0.000 0.500 0.755
0.500 0.500 0.000
0.000 0.000 0.000
0.500 0.000 0.639
0.000 0.500 0.361
0.000 0.000 0.500
0.500 0.000 0.881
0.000 0.500 0.119
0.500 0.500 0.500
```

- crystal system = tetragonal
- energy relative to the elements, uncorrected (eV/atom) = -0.778
- SG = No. 115

=====

Record 4
Computed, not measured: crystalline TmPaNiPd at its relaxed geometry at the PBE level of DFT.

```
TmPaNiPd
1.0
4.858 0.000 0.000
2.429 4.207 0.000
2.429 1.402 3.967
Ni Pa Tm Pd
1 1 1 1
direct
0.750 0.750 0.750
0.000 0.000 0.000
0.500 0.500 0.500
0.250 0.250 0.250
```

- crystal system = cubic
- SG = No. 216
- formation energy (eV/atom) = -0.40

=====

Record 5
Computed, not measured: crystalline PaZnNiPd at its relaxed geometry at the PBE level of DFT.

```
PaZnNiPd
1.0
-1.449 -3.369 -2.834
0.794 -4.437 1.079
-3.516 -2.742 1.267
Ni Zn Pa Pd
1 1 1 1
direct
0.500 0.500 0.500
0.750 0.750 0.750
0.250 0.250 0.250
0.000 0.000 0.000
```

- crystal system = cubic
- SG = No. 216
- formation energy (eV/atom) = -0.35

=====

Record 6
Computed, not measured: crystalline Pm2PaNi9 at its relaxed geometry at the PBE level of DFT.

```
Pm2PaNi9
1.0
-3.586 -1.455 3.093
-3.738 -2.786 -1.677
1.876 -8.274 2.248
Pm Pa Ni
2 1 9
direct
0.861 0.861 0.416
0.139 0.139 0.584
0.000 0.000 0.000
0.667 0.667 0.999
0.333 0.333 0.001
0.500 0.500 0.500
0.420 0.420 0.241
0.919 0.420 0.241
0.420 0.919 0.241
0.580 0.580 0.759
0.580 0.081 0.759
0.081 0.580 0.759
```

- crystal system = trigonal
- SG = No. 166
- formation energy (eV/atom) = -0.36